# 1
VASP calculation (GGA-PBE) on a relaxed PuZnSiO6 crystal.

Cell and atoms, written as CIF:
```
data_PuZnSiO6
_chemical_formula_sum 'Pu2 Zn2 Si2 O12'
_cell_length_a 5.1191
_cell_length_b 5.1191
_cell_length_c 8.9204
_cell_angle_alpha 90.00
_cell_angle_beta 90.00
_cell_angle_gamma 120.00
_symmetry_space_group_name_H-M 'P -3 1 c'
_symmetry_Int_Tables_number 163
_symmetry_space_group_name_Hall '-P 3 2c'
loop_
_atom_site_label
_atom_site_type_symbol
_atom_site_fract_x
_atom_site_fract_y
_atom_site_fract_z
Pu1 Pu 0.3333 0.6667 0.2500
Zn1 Zn 0.0000 0.0000 0.0000
Si1 Si 0.3333 0.6667 0.7500
O1 O 0.0396 0.3720 0.6364
```

Calculated values
Electronic total energy (eV per atom): -7.7544


# 2
VASP calculation (GGA-PBE) on a relaxed Sm3PuO7 crystal.

Cell and atoms, written as CIF:
```
data_Sm3PuO7
_chemical_formula_sum 'Sm12 Pu4 O28'
_cell_length_a 7.698
_cell_length_b 10.963
_cell_length_c 7.838
_cell_angle_alpha 90.00
_cell_angle_beta 90.00
_cell_angle_gamma 90.00
_symmetry_space_group_name_H-M 'C m c m'
_symmetry_Int_Tables_number 63
_symmetry_space_group_name_Hall '-C 2c 2'
loop_
_atom_site_label
_atom_site_type_symbol
_atom_site_fract_x
_atom_site_fract_y
_atom_site_fract_z
Sm1 Sm 0.000 0.000 0.000
Sm2 Sm 0.232 0.266 0.250
Pu1 Pu 0.000 0.500 0.000
O1 O 0.000 0.131 0.750
O2 O 0.000 0.134 0.250
O3 O 0.000 0.413 0.250
O4 O 0.206 0.376 0.529
```

Calculated values
Electronic total energy (eV per atom): -9.0344


# 3
VASP calculation (GGA-PBE) on a relaxed Sm4Pu6O19 crystal.

Cell and atoms, written as CIF:
```
data_Sm4Pu6O19
_chemical_formula_sum 'Sm8 Pu12 O38'
_cell_length_a 9.732
_cell_length_b 9.732
_cell_length_c 9.732
_cell_angle_alpha 90.00
_cell_angle_beta 90.00
_cell_angle_gamma 90.00
_symmetry_space_group_name_H-M 'I 2 3'
_symmetry_Int_Tables_number 197
_symmetry_space_group_name_Hall 'I 2 2 3'
loop_
_atom_site_label
_atom_site_type_symbol
_atom_site_fract_x
_atom_site_fract_y
_atom_site_fract_z
Sm1 Sm 0.144 0.144 0.856
Pu1 Pu 0.000 0.325 0.500
O1 O 0.000 0.000 0.000
O2 O 0.000 0.000 0.355
O3 O 0.050 0.307 0.716
```

Calculated values
Electronic total energy (eV per atom): -9.8588


# 4
VASP calculation (GGA-PBE) on a relaxed SmPu2O11 crystal.

Cell and atoms, written as CIF:
```
data_SmPu2O11
_chemical_formula_sum 'Sm4 Pu8 O44'
_cell_length_a 10.714
_cell_length_b 10.153
_cell_length_c 8.455
_cell_angle_alpha 90.00
_cell_angle_beta 90.00
_cell_angle_gamma 90.00
_symmetry_space_group_name_H-M 'I m a 2'
_symmetry_Int_Tables_number 46
_symmetry_space_group_name_Hall 'I 2 -2a'
loop_
_atom_site_label
_atom_site_type_symbol
_atom_site_fract_x
_atom_site_fract_y
_atom_site_fract_z
Sm1 Sm 0.000 0.000 0.000
Pu1 Pu 0.250 0.223 0.284
Pu2 Pu 0.250 0.736 0.235
O1 O 0.127 0.123 0.189
O2 O 0.127 0.179 0.886
O3 O 0.127 0.615 0.307
O4 O 0.127 0.645 0.665
O5 O 0.250 0.040 0.474
O6 O 0.250 0.077 0.618
O7 O 0.250 0.681 0.978
```

Calculated values
Electronic total energy (eV per atom): -8.1785


# 5
VASP calculation (GGA-PBE) on a relaxed SmPuO3 crystal.

Cell and atoms, written as CIF:
```
data_SmPuO3
_chemical_formula_sum 'Sm1 Pu1 O3'
_cell_length_a 4.344
_cell_length_b 4.344
_cell_length_c 4.344
_cell_angle_alpha 90.00
_cell_angle_beta 90.00
_cell_angle_gamma 90.00
_symmetry_space_group_name_H-M 'P m -3 m'
_symmetry_Int_Tables_number 221
_symmetry_space_group_name_Hall '-P 4 2 3'
loop_
_atom_site_label
_atom_site_type_symbol
_atom_site_fract_x
_atom_site_fract_y
_atom_site_fract_z
Sm1 Sm 0.000 0.000 0.000
Pu1 Pu 0.500 0.500 0.500
O1 O 0.000 0.500 0.500
```

Calculated values
Electronic total energy (eV per atom): -9.2852


# 6
VASP calculation (GGA-PBE) on a relaxed SmPuO4 crystal.

Cell and atoms, written as CIF:
```
data_SmPuO4
_chemical_formula_sum 'Sm4 Pu4 O16'
_cell_length_a 5.425
_cell_length_b 5.425
_cell_length_c 10.748
_cell_angle_alpha 90.00
_cell_angle_beta 90.00
_cell_angle_gamma 90.00
_symmetry_space_group_name_H-M 'I 41/a m d'
_symmetry_Int_Tables_number 141
loop_
_symmetry_equiv_pos_as_xyz
'x,y,z'
'-x,-y,-z'
'-y+1/4,x+3/4,z+1/4'
'y+1/4,-x+3/4,-z+1/4'
'-x+1/2,-y,z+1/2'
'x+1/2,y,-z+1/2'
'y+1/4,-x+1/4,z+3/4'
'-y+1/4,x+1/4,-z+3/4'
'x,-y,-z'
'-x,y,z'
'-y+1/4,-x+1/4,-z+3/4'
'y+1/4,x+1/4,z+3/4'
'-x+1/2,y,-z+1/2'
'x+1/2,-y,z+1/2'
'y+1/4,x+3/4,-z+1/4'
'-y+1/4,-x+3/4,z+1/4'
'x+1/2,y+1/2,z+1/2'
'-x+1/2,-y+1/2,-z+1/2'
'-y+3/4,x+1/4,z+3/4'
'y+3/4,-x+1/4,-z+3/4'
'-x,-y+1/2,z'
'x,y+1/2,-z'
'y+3/4,-x+3/4,z+1/4'
'-y+3/4,x+3/4,-z+1/4'
'x+1/2,-y+1/2,-z+1/2'
'-x+1/2,y+1/2,z+1/2'
'-y+3/4,-x+3/4,-z+1/4'
'y+3/4,x+3/4,z+1/4'
'-x,y+1/2,-z'
'x,-y+1/2,z'
'y+3/4,x+1/4,-z+3/4'
'-y+3/4,-x+1/4,z+3/4'
loop_
_atom_site_label
_atom_site_type_symbol
_atom_site_fract_x
_atom_site_fract_y
_atom_site_fract_z
Sm1 Sm 0.000 0.250 0.375
Pu1 Pu 0.000 0.250 0.875
O1 O 0.232 0.000 0.000
```

Calculated values
Electronic total energy (eV per atom): -9.5852